Entry from the Alexandria database: a relaxed structure of KSeI2 (PBE-GGA).

Structure (CIF):
```
data_KSeI2
_chemical_formula_sum 'K3 Se3 I6'
_space_group_name_H-M_alt 'R -3 m'
_space_group_IT_number 166
_space_group_name_Hall '-R 3 2"'
_cell_length_a 5.3218
_cell_length_b 5.3218
_cell_length_c 27.2559
_cell_angle_alpha 90.00
_cell_angle_beta 90.00
_cell_angle_gamma 120.00
loop_
_atom_site_label
_atom_site_type_symbol
_atom_site_fract_x
_atom_site_fract_y
_atom_site_fract_z
K1 K 0.0000 0.0000 0.0000
Se1 Se 0.0000 0.0000 0.5000
I1 I 0.0000 0.0000 0.1186
```

Energy above the lowest structure with this stoichiometry (meV per atom): 422
Raw total energy (eV/atom): -1.912



Entry from the Alexandria database: a relaxed structure of KSeI (PBE-GGA).

Structure (CIF):
```
data_KSeI
_chemical_formula_sum 'K2 Se2 I2'
_space_group_name_H-M_alt 'P 1'
_space_group_IT_number 1
_cell_length_a 5.9182
_cell_length_b 6.6740
_cell_length_c 6.6829
_cell_angle_alpha 89.99
_cell_angle_beta 76.04
_cell_angle_gamma 75.64
loop_
_space_group_symop_operation_xyz
'x,y,z'
loop_
_atom_site_label
_atom_site_type_symbol
_atom_site_fract_x
_atom_site_fract_y
_atom_site_fract_z
K1 K 0.0000 0.0000 0.0000
K2 K 0.0039 0.5224 0.4761
Se1 Se 0.1167 0.4750 0.9523
Se2 Se 0.5331 0.4314 0.9065
I1 I 0.4983 0.7398 0.2160
I2 I 0.7351 0.0935 0.5680
```

Energy above the lowest structure with this stoichiometry (meV per atom): 16
Raw total energy (eV/atom): -2.851



Entry from the Alexandria database: a relaxed structure of KSi2SeI (PBE-GGA).

Structure (CIF):
```
data_KSi2SeI
_chemical_formula_sum 'K1 Si2 Se1 I1'
_space_group_name_H-M_alt 'P 4/m m m'
_space_group_IT_number 123
_space_group_name_Hall '-P 4 2'
_cell_length_a 5.0123
_cell_length_b 5.0123
_cell_length_c 6.8787
_cell_angle_alpha 90.00
_cell_angle_beta 90.00
_cell_angle_gamma 90.00
loop_
_atom_site_label
_atom_site_type_symbol
_atom_site_fract_x
_atom_site_fract_y
_atom_site_fract_z
K1 K 0.0000 0.0000 0.0000
Si1 Si 0.0000 0.5000 0.5000
Se1 Se 0.0000 0.0000 0.5000
I1 I 0.5000 0.5000 0.0000
```

Raw total energy (eV/atom): -3.125



Entry from the Alexandria database: a relaxed structure of KSmSeI (PBE-GGA).

Structure (CIF):
```
data_KSmSeI
_chemical_formula_sum 'K3 Sm3 Se3 I3'
_space_group_name_H-M_alt 'R 3 m'
_space_group_IT_number 160
_space_group_name_Hall 'R 3 -2"'
_cell_length_a 4.2904
_cell_length_b 4.2904
_cell_length_c 25.2202
_cell_angle_alpha 90.00
_cell_angle_beta 90.00
_cell_angle_gamma 120.00
loop_
_atom_site_label
_atom_site_type_symbol
_atom_site_fract_x
_atom_site_fract_y
_atom_site_fract_z
K1 K 0.0000 0.0000 0.0000
Sm1 Sm 0.0000 0.0000 0.1917
Se1 Se 0.0000 0.0000 0.5870
I1 I 0.0000 0.0000 0.7743
```

Raw total energy (eV/atom): -4.088



Entry from the Alexandria database: a relaxed structure of KTaSeI2 (PBE-GGA).

Structure (CIF):
```
data_KTaSeI2
_chemical_formula_sum 'K1 Ta1 Se1 I2'
_space_group_name_H-M_alt 'P 4/m m m'
_space_group_IT_number 123
_space_group_name_Hall '-P 4 2'
_cell_length_a 5.9234
_cell_length_b 5.9234
_cell_length_c 4.9752
_cell_angle_alpha 90.00
_cell_angle_beta 90.00
_cell_angle_gamma 90.00
loop_
_atom_site_label
_atom_site_type_symbol
_atom_site_fract_x
_atom_site_fract_y
_atom_site_fract_z
K1 K 0.0000 0.0000 0.0000
Ta1 Ta 0.5000 0.5000 0.5000
Se1 Se 0.5000 0.5000 0.0000
I1 I 0.0000 0.5000 0.5000
```

Raw total energy (eV/atom): -4.400



Entry from the Alexandria database: a relaxed structure of KTbSeI (PBE-GGA).

Structure (CIF):
```
data_KTbSeI
_chemical_formula_sum 'K3 Tb3 Se3 I3'
_space_group_name_H-M_alt 'R 3 m'
_space_group_IT_number 160
_space_group_name_Hall 'R 3 -2"'
_cell_length_a 4.2449
_cell_length_b 4.2449
_cell_length_c 25.0538
_cell_angle_alpha 90.00
_cell_angle_beta 90.00
_cell_angle_gamma 120.00
loop_
_atom_site_label
_atom_site_type_symbol
_atom_site_fract_x
_atom_site_fract_y
_atom_site_fract_z
K1 K 0.0000 0.0000 0.0000
Tb1 Tb 0.0000 0.0000 0.1922
Se1 Se 0.0000 0.0000 0.5856
I1 I 0.0000 0.0000 0.7763
```

Raw total energy (eV/atom): -4.033



Entry from the Alexandria database: a relaxed structure of KTe2SeI (PBE-GGA).

Structure (CIF):
```
data_KTe2SeI
_chemical_formula_sum 'K1 Te2 Se1 I1'
_space_group_name_H-M_alt 'P 4/m m m'
_space_group_IT_number 123
_space_group_name_Hall '-P 4 2'
_cell_length_a 6.6511
_cell_length_b 6.6511
_cell_length_c 6.4753
_cell_angle_alpha 90.00
_cell_angle_beta 90.00
_cell_angle_gamma 90.00
loop_
_atom_site_label
_atom_site_type_symbol
_atom_site_fract_x
_atom_site_fract_y
_atom_site_fract_z
K1 K 0.0000 0.0000 0.0000
Te1 Te 0.0000 0.5000 0.0000
Se1 Se 0.5000 0.5000 0.5000
I1 I 0.0000 0.0000 0.5000
```

Energy above the lowest structure with this stoichiometry (meV per atom): 985
Raw total energy (eV/atom): -1.692



Entry from the Alexandria database: a relaxed structure of KTe2SeI (PBE-GGA).

Structure (CIF):
```
data_KTe2SeI
_chemical_formula_sum 'K1 Te2 Se1 I1'
_space_group_name_H-M_alt 'P 4/m m m'
_space_group_IT_number 123
_space_group_name_Hall '-P 4 2'
_cell_length_a 5.6186
_cell_length_b 5.6186
_cell_length_c 5.9876
_cell_angle_alpha 90.00
_cell_angle_beta 90.00
_cell_angle_gamma 90.00
loop_
_atom_site_label
_atom_site_type_symbol
_atom_site_fract_x
_atom_site_fract_y
_atom_site_fract_z
K1 K 0.0000 0.0000 0.0000
Te1 Te 0.0000 0.5000 0.5000
Se1 Se 0.5000 0.5000 0.5000
I1 I 0.5000 0.5000 0.0000
```

Energy above the lowest structure with this stoichiometry (meV per atom): 0
Raw total energy (eV/atom): -2.677